# 1
A plane-wave DFT calculation with PBE was carried out for a geometry-optimized ScPbSe2 structure.

Cell: 6.535 6.535 6.535 Å, 143.55 143.55 52.50°
Fractional positions:
Sc: 0.750 0.250 0.500
Se: 0.250 0.750 0.500
Se: 0.000 0.000 0.000
Pb: 0.500 0.500 0.000

Calculated values
The calculation puts the theoretical density at 6.954 g/cm³. The value obtained for the calculated total energy is -19.53 eV for the cell shown. The value obtained for the magnetization is 0.00 μB per cell. Its space group is I-4m2 (119). As for the raw formation energy: -630 meV/atom.

---

# 2
A plane-wave DFT calculation with PBE was carried out for a geometry-optimized ScPbSe2 structure.

Cell: 5.116 5.116 5.116 Å, 60.00 60.00 60.00°
Fractional positions:
Pb: 0.500 0.500 0.500
Se: 0.250 0.250 0.250
Se: 0.000 0.000 0.000
Sc: 0.750 0.750 0.750

Calculated values
The calculation puts the theoretical density at 7.193 g/cm³. The value obtained for the calculated total energy is -17.57 eV for the cell shown. The value obtained for the magnetization is 0.39 μB per cell. Its space group is F-43m (216). As for the raw formation energy: -141 meV/atom.

---

# 3
A plane-wave DFT calculation with PBE was carried out for a geometry-optimized Sc2PbSe structure.

Cell: 3.383 3.383 7.723 Å, 90.00 90.00 90.00°
Fractional positions:
Sc: 0.000 0.000 0.036
Sc: 0.000 0.000 0.464
Pb: 0.500 0.500 0.750
Se: 0.500 0.500 0.250

Calculated values
The calculation puts the theoretical density at 7.064 g/cm³. The value obtained for the calculated total energy is -23.08 eV for the cell shown. The value obtained for the magnetization is 1.36 μB per cell. Its space group is P4/mmm (123). As for the raw formation energy: -806 meV/atom.

---

# 4
A plane-wave DFT calculation with PBE was carried out for a geometry-optimized ScPbSe2 structure.

Cell: 3.825 3.825 8.362 Å, 76.78 76.78 60.00°
Fractional positions:
Se: 0.064 0.064 0.807
Se: 0.268 0.268 0.196
Sc: 0.667 0.667 0.000
Pb: 0.501 0.501 0.497

Calculated values
The calculation puts the theoretical density at 6.665 g/cm³. The value obtained for the calculated total energy is -21.49 eV for the cell shown. The value obtained for the magnetization is 0.00 μB per cell. Its space group is R3m (160). As for the raw formation energy: -1121 meV/atom.